## K2CeWO6 (PBE with a Hubbard U)

Data for crystalline K2CeWO6 at its relaxed geometry.

It has space group Fm-3m (No. 225), with a = 8.443 Å, b = 8.443 Å, c = 8.443 Å, α = 90.00°, β = 90.00° and γ = 90.00°. Symmetry generates all atoms from K at (0.250, 0.250, 0.250), Ce at (0.000, 0.000, 0.000), W at (0.000, 0.000, 0.500) and O at (0.000, 0.000, 0.268).

As for the raw total energy: -6.96 eV per atom.